# Pd6Pb12Au | Alexandria via LeMat-Bulk | GGA-PBE | relaxed
# **Total magnetic moment**: 0.0 μB/f.u.
# **V**: 1577 Å³ per cell
# **E_form**: -0.12 eV/atom
data_Pd6Pb12Au
_cell_length_a 12.6394
_cell_length_b 12.6394
_cell_length_c 11.3973
_cell_angle_alpha 90.00
_cell_angle_beta 90.00
_cell_angle_gamma 120.00
_space_group_name_H-M_alt 'R -3'
_space_group_IT_number 148
_space_group_name_Hall '-R 3'
loop_
_atom_site_label
_atom_site_type_symbol
_atom_site_fract_x
_atom_site_fract_y
_atom_site_fract_z
Pd1 Pd 0.0455 0.2532 0.1549
Pb1 Pb 0.0375 0.2156 0.8955
Pb2 Pb 0.0434 0.2270 0.3979
Au1 Au 0.0000 0.0000 0.5000

***

# RhAuF2 | Alexandria via LeMat-Bulk | GGA-PBE | relaxed
# **Offset from the most stable computed form**: 533.7 meV per atom
# **Formation energy (no corrections)**: -94 meV/atom
# **Total magnetic moment**: 2.3 μB/f.u.
# **V**: 220 Å³ per cell
data_RhAuF2
_cell_length_a 6.039
_cell_length_b 6.039
_cell_length_c 6.039
_cell_angle_alpha 90.00
_cell_angle_beta 90.00
_cell_angle_gamma 90.00
_space_group_name_H-M_alt 'F m -3 m'
_space_group_IT_number 225
_space_group_name_Hall '-F 4 2 3'
loop_
_atom_site_label
_atom_site_type_symbol
_atom_site_fract_x
_atom_site_fract_y
_atom_site_fract_z
Rh1 Rh 0.000 0.000 0.000
Au1 Au 0.000 0.000 0.500
F1 F 0.250 0.250 0.250

***

# Pa2SiNiC | Alexandria via LeMat-Bulk | GGA-PBE | relaxed
# **Formation energy (no corrections)**: -500 meV/atom
# **Total magnetic moment**: 0.0 μB/f.u.
# **V**: 177 Å³ per cell
data_Pa2SiNiC
_cell_length_a 6.182
_cell_length_b 3.861
_cell_length_c 7.686
_cell_angle_alpha 90.00
_cell_angle_beta 105.80
_cell_angle_gamma 90.00
_space_group_name_H-M_alt 'P 1 21/m 1'
_space_group_IT_number 11
_space_group_name_Hall '-P 2yb'
loop_
_atom_site_label
_atom_site_type_symbol
_atom_site_fract_x
_atom_site_fract_y
_atom_site_fract_z
Pa1 Pa 0.200 0.250 0.387
Pa2 Pa 0.233 0.250 0.965
Si1 Si 0.313 0.750 0.690
Ni1 Ni 0.468 0.750 0.255
C1 C 0.146 0.750 0.163

***

# BeSb4P | Alexandria via LeMat-Bulk | GGA-PBE | relaxed
# **Formation energy (no corrections)**: 1008 meV/atom
# **Total magnetic moment**: 0.0 μB/f.u.
# **V**: 638 Å³ per cell
data_BeSb4P
_cell_length_a 8.611
_cell_length_b 8.611
_cell_length_c 8.611
_cell_angle_alpha 90.00
_cell_angle_beta 90.00
_cell_angle_gamma 90.00
_space_group_name_H-M_alt 'F -4 3 m'
_space_group_IT_number 216
_space_group_name_Hall 'F -4 2 3'
loop_
_atom_site_label
_atom_site_type_symbol
_atom_site_fract_x
_atom_site_fract_y
_atom_site_fract_z
Be1 Be 0.000 0.000 0.000
Sb1 Sb 0.125 0.125 0.375
P1 P 0.250 0.250 0.750

***

# GeNO2F | Alexandria via LeMat-Bulk | GGA-PBE | relaxed
# **Formation energy (no corrections)**: 145 meV/atom
# **Total magnetic moment**: 2.0 μB/f.u.
# **V**: 53 Å³ per cell
data_GeNO2F
_cell_length_a 3.689
_cell_length_b 3.689
_cell_length_c 3.914
_cell_angle_alpha 90.00
_cell_angle_beta 90.00
_cell_angle_gamma 90.00
_space_group_name_H-M_alt 'P 4/m m m'
_space_group_IT_number 123
_space_group_name_Hall '-P 4 2'
loop_
_atom_site_label
_atom_site_type_symbol
_atom_site_fract_x
_atom_site_fract_y
_atom_site_fract_z
Ge1 Ge 0.000 0.000 0.000
N1 N 0.500 0.500 0.500
O1 O 0.000 0.500 0.000
F1 F 0.000 0.000 0.500

***

# RbSnIrO6 | Alexandria via LeMat-Bulk | GGA-PBE | relaxed
# **Formation energy (no corrections)**: -1054 meV/atom
# **Total magnetic moment**: 0.0 μB/f.u.
# **V**: 162 Å³ per cell
data_RbSnIrO6
_cell_length_a 5.4517
_cell_length_b 5.4517
_cell_length_c 6.2915
_cell_angle_alpha 90.00
_cell_angle_beta 90.00
_cell_angle_gamma 120.00
_space_group_name_H-M_alt 'P 3 1 2'
_space_group_IT_number 149
_space_group_name_Hall 'P 3 2'
loop_
_atom_site_label
_atom_site_type_symbol
_atom_site_fract_x
_atom_site_fract_y
_atom_site_fract_z
Rb1 Rb 0.0000 0.0000 0.0000
Sn1 Sn 0.3333 0.6667 0.5000
Ir1 Ir 0.6667 0.3333 0.5000
O1 O 0.4116 0.0243 0.3208